No. 1
Ce7Si5Tc: optimized geometry, PBE-GGA.

The structure belongs to space group Imm2 (No. 44); the cell edges are 6.136, 10.602 and 9.796 Å and the angles 90.00°, 90.00° and 90.00°. The inequivalent atoms are Ce at (0.000, 0.000, 0.000), Ce at (0.000, 0.000, 0.469), Ce at (0.000, 0.281, 0.751), Ce at (0.000, 0.333, 0.179), Ce at (0.000, 0.500, 0.391), Si at (0.000, 0.500, 0.933), Si at (0.197, 0.261, 0.473) and Tc at (0.000, 0.000, 0.756).

The calculation puts the size of the total moment at 0.0524 μB per atom. The value obtained for the density of states at the Fermi level is 44.098 states/eV per cell. The value obtained for the total energy is -6.409 eV/atom. The formation energy (no corrections) is -31.9 kJ per mole of atoms.

=====

No. 2
TbHoCoRu: optimized geometry, PBE-GGA.

The structure belongs to space group P4mm (No. 99); the cell edges are 3.387, 3.387 and 6.677 Å and the angles 90.00°, 90.00° and 90.00°. The inequivalent atoms are Tb at (0.000, 0.000, 0.000), Ho at (0.000, 0.000, 0.504), Co at (0.500, 0.500, 0.750) and Ru at (0.500, 0.500, 0.254).

The calculation puts the size of the total moment at 0.1047 μB per atom. The calculation puts the energy above the most stable polymorph in this dataset at 0.000 eV per atom. The value obtained for the density of states at the Fermi level is 3.240 states/eV per cell. The value obtained for the total energy is -6.643 eV/atom. Its formation energy is -0.246 eV per atom.

=====

No. 3
Nd2Er3Tm: optimized geometry, PBE-GGA.

The structure belongs to space group C2/m (No. 12); the cell edges are 16.863, 5.590 and 8.224 Å and the angles 90.00°, 91.52° and 90.00°. The inequivalent atoms are Nd at (0.059, 0.000, 0.158), Nd at (0.087, 0.500, 0.879), Er at (0.095, 0.000, 0.588), Er at (0.225, 0.000, 0.903), Er at (0.246, 0.000, 0.347) and Tm at (0.104, 0.500, 0.360).

The calculation puts the size of the total moment at 0.0003 μB per atom. The calculation puts the energy above the most stable polymorph in this dataset at 0.004 eV per atom. The value obtained for the density of states at the Fermi level is 38.218 states/eV per cell. The value obtained for the total energy is -4.513 eV/atom. Its formation energy is 0.103 eV per atom.

=====

No. 4
LiCa2Si2: optimized geometry, PBE-GGA.

The structure belongs to space group C2/m (No. 12); the cell edges are 10.922, 4.395 and 10.628 Å and the angles 90.00°, 118.40° and 90.00°. The inequivalent atoms are Li at (0.226, 0.000, 0.368), Ca at (0.011, 0.500, 0.328), Ca at (0.189, 0.500, 0.105), Si at (0.013, 0.000, 0.893) and Si at (0.123, 0.000, 0.566).

The calculation puts the size of the total moment at 0.0000 μB per atom. The value obtained for the density of states at the Fermi level is 9.714 states/eV per cell. The value obtained for the total energy is -3.780 eV/atom. The formation energy (no corrections) is -41.2 kJ per mole of atoms.